(1)
Entry from the Alexandria database: crystalline KZn3 at its relaxed geometry (PBE).

## Properties
E_form (eV/atom): -0.02
Energy above the most stable polymorph in this dataset (meV/atom): 14.8
Total magnetization (μB/f.u.): 0.0
Raw total energy (eV/atom): -1.25

a b c (Å): 7.5717 13.2977 6.4022
angles (deg): 90.00 90.00 90.00
With the nearest neighbours (Å) after each atom.
Positions (direct):
1 K 0.2500 0.0833 0.0494  5 Zn 3.42-3.81
2 K 0.2500 0.4167 0.0494  5 Zn 3.42-3.81
3 K 0.2500 0.7500 0.0486  6 Zn 3.42-3.81
4 K 0.7500 0.2500 0.9514  6 Zn 3.42-3.81
5 K 0.7500 0.5833 0.9506  5 Zn 3.42-3.81
6 K 0.7500 0.9167 0.9506  5 Zn 3.42-3.81
7 Zn 0.0783 0.7500 0.5425  6 Zn 2.54-2.60
8 Zn 0.0785 0.0833 0.5431  6 Zn 2.54-2.60
9 Zn 0.0785 0.4167 0.5431  6 Zn 2.54-2.60
10 Zn 0.2500 0.2500 0.5374  6 Zn 2.54-2.57
11 Zn 0.2500 0.5834 0.5334  6 Zn 2.54-2.57
12 Zn 0.2500 0.9166 0.5334  6 Zn 2.54-2.57
13 Zn 0.4215 0.0833 0.5431  6 Zn 2.54-2.60
14 Zn 0.4215 0.4167 0.5431  6 Zn 2.54-2.60
15 Zn 0.4217 0.7500 0.5425  6 Zn 2.54-2.60
16 Zn 0.5783 0.2500 0.4575  6 Zn 2.54-2.60
17 Zn 0.5785 0.5833 0.4569  6 Zn 2.54-2.60
18 Zn 0.5785 0.9167 0.4569  6 Zn 2.54-2.60
19 Zn 0.7500 0.0834 0.4666  6 Zn 2.54-2.57
20 Zn 0.7500 0.4166 0.4666  6 Zn 2.54-2.57
21 Zn 0.7500 0.7500 0.4626  6 Zn 2.54-2.57
22 Zn 0.9215 0.5833 0.4569  6 Zn 2.54-2.60
23 Zn 0.9215 0.9167 0.4569  6 Zn 2.54-2.60
24 Zn 0.9217 0.2500 0.4575  6 Zn 2.54-2.60



(2)
Entry from the Alexandria database: crystalline Ac2PbAu3 at its relaxed geometry (PBE).

## Properties
E_form (eV/atom): -0.67
Energy above the most stable polymorph in this dataset (meV/atom): 44.6
Total magnetization (μB/f.u.): 0.0
Raw total energy (eV/atom): -4.29

a b c (Å): 4.3695 4.3882 18.4673
angles (deg): 90.00 90.00 90.00
With the nearest neighbours (Å) after each atom.
Positions (direct):
1 Ac 0.0000 0.0000 0.0000  6 Au 3.29-3.56, 4 Pb 3.63
2 Ac 0.0000 0.5000 0.2252  10 Au 3.38-3.75
3 Ac 0.5000 0.0000 0.7252  10 Au 3.38-3.75
4 Ac 0.5000 0.5000 0.5000  6 Au 3.29-3.56, 4 Pb 3.63
5 Pb 0.0000 0.0000 0.3975  3 Au 2.82-3.01
6 Pb 0.5000 0.5000 0.8975  3 Au 2.82-3.01
7 Au 0.0000 0.0000 0.5603  2 Au 2.77, 1 Pb 3.01
8 Au 0.0000 0.5000 0.6521  3 Au 2.75-2.77
9 Au 0.0000 0.5000 0.8011  1 Au 2.75, 2 Pb 2.82
10 Au 0.5000 0.0000 0.1521  3 Au 2.75-2.77
11 Au 0.5000 0.0000 0.3011  1 Au 2.75, 2 Pb 2.82
12 Au 0.5000 0.5000 0.0603  2 Au 2.77, 1 Pb 3.01



(3)
Entry from the Alexandria database: crystalline La4TcBi at its relaxed geometry (PBE).

## Properties
E_form (eV/atom): -0.37
Total magnetization (μB/f.u.): 0.0
Raw total energy (eV/atom): -6.03

a b c (Å): 8.3507 8.3507 6.5251
angles (deg): 100.77 100.77 114.17
With the nearest neighbours (Å) after each atom.
Positions (direct):
1 La 0.0611 0.7241 0.9450  2 Tc 3.01-3.02
2 La 0.2049 0.3525 0.6234  2 Tc 3.03-3.09, 1 Bi 3.36
3 La 0.2759 0.9389 0.5550  2 Tc 3.01-3.02
4 La 0.3525 0.2049 0.1234  2 Tc 3.03-3.09, 1 Bi 3.36
5 La 0.6475 0.7951 0.8766  2 Tc 3.03-3.09, 1 Bi 3.36
6 La 0.7241 0.0611 0.4450  2 Tc 3.01-3.02
7 La 0.7951 0.6475 0.3766  2 Tc 3.03-3.09, 1 Bi 3.36
8 La 0.9389 0.2759 0.0550  2 Tc 3.01-3.02
9 Tc 0.0008 0.9992 0.2500  8 La 3.01-3.09, 2 Tc 3.26
10 Tc 0.9992 0.0008 0.7500  8 La 3.01-3.09, 2 Tc 3.26
11 Bi 0.3760 0.6240 0.2500  8 La 3.36-3.72
12 Bi 0.6240 0.3760 0.7500  8 La 3.36-3.72



(4)
Entry from the Alexandria database: crystalline CuAu2Se at its relaxed geometry (PBE).

## Properties
Energy relative to the elements, uncorrected (meV per atom): 165
Total magnetization (μB/f.u.): 0.0
Raw total energy (eV/atom): -3.37

a b c (Å): 2.8165 3.6574 6.9147
angles (deg): 90.00 90.00 90.00
With the nearest neighbours (Å) after each atom.
Positions (direct):
1 Cu 0.0000 0.0000 0.0000  8 Au 2.73, 2 Cu 2.82
2 Au 0.5000 0.5000 0.2116  4 Cu 2.73, 3 Au 2.82-2.93, 4 Se 3.05
3 Au 0.5000 0.5000 0.7884  4 Cu 2.73, 3 Au 2.82-2.93, 4 Se 3.05
4 Se 0.0000 0.0000 0.5000  2 Se 2.82, 8 Au 3.05



(5)
Entry from the Alexandria database: crystalline Tb3YTh2 at its relaxed geometry (PBE).

## Properties
E_form (eV/atom): 0.03
Energy above the most stable polymorph in this dataset (meV/atom): 4.2
Total magnetization (μB/f.u.): 0.0
Raw total energy (eV/atom): -5.83

a b c (Å): 9.4388 9.4388 10.1188
angles (deg): 122.28 122.28 31.08
With the nearest neighbours (Å) after each atom.
Positions (direct):
1 Tb 0.0837 0.0837 0.2073  8 Tb 3.56-3.60, 2 Th 3.59-3.60, 2 Y 3.61
2 Tb 0.2486 0.2486 0.6285  3 Th 3.50-3.57, 6 Tb 3.55-3.65, 3 Y 3.57-3.65
3 Tb 0.4141 0.4141 0.0415  5 Th 3.49-3.56, 6 Tb 3.55-3.66, 1 Y 3.60
4 Tb 0.5859 0.5859 0.9585  5 Th 3.49-3.56, 6 Tb 3.55-3.66, 1 Y 3.60
5 Tb 0.7514 0.7514 0.3715  3 Th 3.50-3.57, 6 Tb 3.55-3.65, 3 Y 3.57-3.65
6 Tb 0.9163 0.9163 0.7927  8 Tb 3.56-3.60, 2 Th 3.59-3.60, 2 Y 3.61
7 Y 0.4175 0.4175 0.5395  1 Y 3.51, 5 Th 3.55-3.58, 6 Tb 3.57-3.65
8 Y 0.5825 0.5825 0.4605  1 Y 3.51, 5 Th 3.55-3.58, 6 Tb 3.57-3.65
9 Th 0.0852 0.0852 0.7099  4 Tb 3.50-3.60, 4 Th 3.54-3.61, 4 Y 3.55-3.58
10 Th 0.2508 0.2508 0.1224  6 Tb 3.49-3.59, 5 Th 3.53-3.54, 1 Y 3.58
11 Th 0.7492 0.7492 0.8776  6 Tb 3.49-3.59, 5 Th 3.53-3.54, 1 Y 3.58
12 Th 0.9148 0.9148 0.2901  4 Tb 3.50-3.60, 4 Th 3.54-3.61, 4 Y 3.55-3.58



(6)
Entry from the Alexandria database: crystalline SmMg3Sn6 at its relaxed geometry (PBE).

## Properties
E_form (eV/atom): -0.20
Total magnetization (μB/f.u.): 0.0
Raw total energy (eV/atom): -3.56

a b c (Å): 8.8746 5.4639 11.3353
angles (deg): 90.00 112.25 90.00
With the nearest neighbours (Å) after each atom.
Positions (direct):
1 Sm 0.0663 0.2500 0.3791  10 Sn 3.33-3.39, 2 Mg 3.39-3.49
2 Sm 0.9337 0.7500 0.6209  10 Sn 3.33-3.39, 2 Mg 3.39-3.49
3 Mg 0.2670 0.2500 0.9851  8 Sn 3.05-3.31, 3 Mg 3.32-3.40
4 Mg 0.3377 0.7500 0.8347  8 Sn 3.05-3.27, 3 Mg 3.32-3.40
5 Mg 0.4633 0.2500 0.5773  9 Sn 3.17-3.30, 1 Sm 3.39, 2 Mg 3.44
6 Mg 0.5367 0.7500 0.4227  9 Sn 3.17-3.30, 1 Sm 3.39, 2 Mg 3.44
7 Mg 0.6623 0.2500 0.1653  8 Sn 3.05-3.27, 3 Mg 3.32-3.40
8 Mg 0.7330 0.7500 0.0149  8 Sn 3.05-3.31, 3 Mg 3.32-3.40
9 Sn 0.0423 0.7500 0.9393  6 Sn 3.17-3.44, 4 Mg 3.17-3.31, 1 Sm 3.37
10 Sn 0.1472 0.7500 0.2392  8 Sn 3.17-3.44, 1 Mg 3.29, 2 Sm 3.37
11 Sn 0.1780 0.2500 0.6975  4 Mg 3.05-3.30, 2 Sn 3.19-3.23, 3 Sm 3.36-3.39
12 Sn 0.2600 0.7500 0.5438  4 Mg 3.10-3.23, 4 Sn 3.10-3.46, 3 Sm 3.33-3.39
13 Sn 0.3755 0.2500 0.2761  5 Mg 3.07-3.24, 5 Sn 3.10-3.41, 1 Sm 3.37
14 Sn 0.4447 0.7500 0.1241  7 Mg 3.05-3.27, 5 Sn 3.19-3.41
15 Sn 0.5553 0.2500 0.8759  7 Mg 3.05-3.27, 5 Sn 3.19-3.41
16 Sn 0.6245 0.7500 0.7239  5 Mg 3.07-3.24, 5 Sn 3.10-3.41, 1 Sm 3.37
17 Sn 0.7400 0.2500 0.4562  4 Mg 3.10-3.23, 4 Sn 3.10-3.46, 3 Sm 3.33-3.39
18 Sn 0.8220 0.7500 0.3025  4 Mg 3.05-3.30, 2 Sn 3.19-3.23, 3 Sm 3.36-3.39
19 Sn 0.8528 0.2500 0.7608  8 Sn 3.17-3.44, 1 Mg 3.29, 2 Sm 3.37
20 Sn 0.9577 0.2500 0.0607  6 Sn 3.17-3.44, 4 Mg 3.17-3.31, 1 Sm 3.37



(7)
Entry from the Alexandria database: crystalline Na3InPb3 at its relaxed geometry (PBE).

## Properties
E_form (eV/atom): -0.09
Energy above the most stable polymorph in this dataset (meV/atom): 0.0
Total magnetization (μB/f.u.): 0.0
Raw total energy (eV/atom): -2.64

a b c (Å): 9.1633 9.1633 5.6031
angles (deg): 90.00 90.00 120.00
With the nearest neighbours (Å) after each atom.
Positions (direct):
1 Na 0.0963 0.4744 0.2500  5 Pb 3.37-3.53, 3 In 3.44-3.48, 4 Na 3.46-3.47
2 Na 0.3781 0.9037 0.2500  5 Pb 3.37-3.53, 3 In 3.44-3.48, 4 Na 3.46-3.47
3 Na 0.4744 0.3781 0.7500  5 Pb 3.37-3.53, 3 In 3.44-3.48, 4 Na 3.46-3.47
4 Na 0.5256 0.6219 0.2500  5 Pb 3.37-3.53, 3 In 3.44-3.48, 4 Na 3.46-3.47
5 Na 0.6219 0.0963 0.7500  5 Pb 3.37-3.53, 3 In 3.44-3.48, 4 Na 3.46-3.47
6 Na 0.9037 0.5256 0.7500  5 Pb 3.37-3.53, 3 In 3.44-3.48, 4 Na 3.46-3.47
7 In 0.3333 0.6667 0.7500  3 Pb 3.39, 9 Na 3.44-3.48
8 In 0.6667 0.3333 0.2500  3 Pb 3.39, 9 Na 3.44-3.48
9 Pb 0.0591 0.2464 0.7500  5 Na 3.37-3.53, 1 In 3.39, 6 Pb 3.47-3.54
10 Pb 0.1873 0.9409 0.7500  5 Na 3.37-3.53, 1 In 3.39, 6 Pb 3.47-3.54
11 Pb 0.2464 0.1873 0.2500  5 Na 3.37-3.53, 1 In 3.39, 6 Pb 3.47-3.54
12 Pb 0.7536 0.8127 0.7500  5 Na 3.37-3.53, 1 In 3.39, 6 Pb 3.47-3.54
13 Pb 0.8127 0.0591 0.2500  5 Na 3.37-3.53, 1 In 3.39, 6 Pb 3.47-3.54
14 Pb 0.9409 0.7536 0.2500  5 Na 3.37-3.53, 1 In 3.39, 6 Pb 3.47-3.54



(8)
Entry from the Alexandria database: crystalline PbNCl2 at its relaxed geometry (PBE).

## Properties
Energy relative to the elements, uncorrected (meV per atom): 466
Energy above the most stable polymorph in this dataset (meV/atom): 30.7
Total magnetization (μB/f.u.): 3.0
Raw total energy (eV/atom): -3.47

a b c (Å): 7.1551 7.1551 7.1551
angles (deg): 90.00 90.00 90.00
With the nearest neighbours (Å) after each atom.
Positions (direct):
1 Pb 0.0000 0.0000 0.0000  8 Cl 3.10
2 Pb 0.0000 0.5000 0.5000  8 Cl 3.10
3 Pb 0.5000 0.0000 0.5000  8 Cl 3.10
4 Pb 0.5000 0.5000 0.0000  8 Cl 3.10
5 N 0.0000 0.0000 0.5000  8 Cl 3.10
6 N 0.0000 0.5000 0.0000  8 Cl 3.10
7 N 0.5000 0.0000 0.0000  8 Cl 3.10
8 N 0.5000 0.5000 0.5000  8 Cl 3.10
9 Cl 0.2500 0.2500 0.2500  4 Pb 3.10, 4 N 3.10
10 Cl 0.2500 0.2500 0.7500  4 Pb 3.10, 4 N 3.10
11 Cl 0.2500 0.7500 0.2500  4 Pb 3.10, 4 N 3.10
12 Cl 0.2500 0.7500 0.7500  4 Pb 3.10, 4 N 3.10
13 Cl 0.7500 0.2500 0.2500  4 Pb 3.10, 4 N 3.10
14 Cl 0.7500 0.2500 0.7500  4 Pb 3.10, 4 N 3.10
15 Cl 0.7500 0.7500 0.2500  4 Pb 3.10, 4 N 3.10
16 Cl 0.7500 0.7500 0.7500  4 Pb 3.10, 4 N 3.10



(9)
Entry from the Alexandria database: crystalline CsIn2Pb2 at its relaxed geometry (PBE).

## Properties
E_form (eV/atom): -0.05
Energy above the most stable polymorph in this dataset (meV/atom): 88.7
Total magnetization (μB/f.u.): 0.0
Raw total energy (eV/atom): -2.80

a b c (Å): 9.8234 9.8234 3.5759
angles (deg): 90.00 90.00 90.00
With the nearest neighbours (Å) after each atom.
Positions (direct):
1 Cs 0.0000 0.0000 0.0000  2 Cs 3.58, 4 In 3.82
2 Cs 0.5000 0.5000 0.0000  2 Cs 3.58, 4 In 3.82
3 In 0.1352 0.3648 0.0000  6 Pb 3.32-3.49, 2 In 3.58
4 In 0.3648 0.8648 0.0000  6 Pb 3.32-3.49, 2 In 3.58
5 In 0.6352 0.1352 0.0000  6 Pb 3.32-3.49, 2 In 3.58
6 In 0.8648 0.6352 0.0000  6 Pb 3.32-3.49, 2 In 3.58
7 Pb 0.1490 0.6490 0.5000  6 In 3.32-3.49, 2 Pb 3.58
8 Pb 0.3510 0.1490 0.5000  6 In 3.32-3.49, 2 Pb 3.58
9 Pb 0.6490 0.8510 0.5000  6 In 3.32-3.49, 2 Pb 3.58
10 Pb 0.8510 0.3510 0.5000  6 In 3.32-3.49, 2 Pb 3.58



(10)
Entry from the Alexandria database: crystalline BeFe2Os at its relaxed geometry (PBE).

## Properties
E_form (eV/atom): 0.12
Total magnetization (μB/f.u.): 5.1
Raw total energy (eV/atom): -7.85

a b c (Å): 2.8717 4.2470 7.7855
angles (deg): 90.00 90.00 90.00
With the nearest neighbours (Å) after each atom.
Positions (direct):
1 Be 0.0000 0.0000 0.0000  2 Fe 2.28, 2 Os 2.37
2 Be 0.5000 0.5000 0.0000  2 Fe 2.28, 2 Os 2.37
3 Fe 0.0000 0.0000 0.4799  6 Fe 2.43-2.56, 2 Os 2.60
4 Fe 0.0000 0.5000 0.2281  2 Be 2.28, 2 Fe 2.43
5 Fe 0.5000 0.0000 0.2281  2 Be 2.28, 2 Fe 2.43
6 Fe 0.5000 0.5000 0.4799  6 Fe 2.43-2.56, 2 Os 2.60
7 Os 0.0000 0.5000 0.7584  2 Be 2.37, 4 Os 2.56, 2 Fe 2.60
8 Os 0.5000 0.0000 0.7584  2 Be 2.37, 4 Os 2.56, 2 Fe 2.60



(11)
Entry from the Alexandria database: crystalline Ca2SnHgPt at its relaxed geometry (PBE).

## Properties
E_form (eV/atom): -0.13
Energy above the most stable polymorph in this dataset (meV/atom): 0.0
Total magnetization (μB/f.u.): 0.0
Raw total energy (eV/atom): -3.00

a b c (Å): 5.9394 5.9394 4.9520
angles (deg): 90.00 90.00 90.00
With the nearest neighbours (Å) after each atom.
Positions (direct):
1 Ca 0.0000 0.5000 0.0000  2 Sn 2.97
2 Ca 0.5000 0.0000 0.0000  2 Sn 2.97
3 Sn 0.0000 0.0000 0.0000  2 Pt 2.48
4 Hg 0.5000 0.5000 0.5000  8 Ca 3.87, 4 Pt 4.20
5 Pt 0.0000 0.0000 0.5000  2 Sn 2.48



(12)
Entry from the Alexandria database: crystalline Pr2MgZn3 at its relaxed geometry (PBE).

## Properties
E_form (eV/atom): -0.30
Energy above the most stable polymorph in this dataset (meV/atom): 0.0
Total magnetization (μB/f.u.): 0.0
Raw total energy (eV/atom): -2.79

a b c (Å): 5.0261 5.0261 12.7295
angles (deg): 90.00 90.00 120.00
With the nearest neighbours (Å) after each atom.
Positions (direct):
1 Pr 0.0000 0.0000 0.0000  8 Zn 3.14-3.28
2 Pr 0.0000 0.0000 0.5000  8 Zn 3.07-3.09
3 Pr 0.3333 0.6667 0.1856  7 Zn 2.99-3.13
4 Pr 0.6667 0.3333 0.8144  7 Zn 2.99-3.13
5 Mg 0.3333 0.6667 0.6608  8 Zn 3.06-3.13
6 Mg 0.6667 0.3333 0.3392  8 Zn 3.06-3.13
7 Zn 0.0000 0.0000 0.2574  5 Pr 3.04-3.28, 3 Mg 3.08
8 Zn 0.0000 0.0000 0.7426  5 Pr 3.04-3.28, 3 Mg 3.08
9 Zn 0.3333 0.6667 0.4208  4 Pr 2.99-3.07, 4 Mg 3.06-3.08
10 Zn 0.3333 0.6667 0.9067  1 Mg 3.13, 6 Pr 3.13-3.14
11 Zn 0.6667 0.3333 0.0933  1 Mg 3.13, 6 Pr 3.13-3.14
12 Zn 0.6667 0.3333 0.5792  4 Pr 2.99-3.07, 4 Mg 3.06-3.08



Q: Among the records above, which one has the highest raw total energy?
A: KZn3



Q: raw total energy of number 5 (Tb3YTh2)?
A: -5.83 eV/atom



Please write out number 6 again, unchanged.
Entry from the Alexandria database: crystalline SmMg3Sn6 at its relaxed geometry (PBE).

## Properties
E_form (eV/atom): -0.20
Total magnetization (μB/f.u.): 0.0
Raw total energy (eV/atom): -3.56

a b c (Å): 8.8746 5.4639 11.3353
angles (deg): 90.00 112.25 90.00
With the nearest neighbours (Å) after each atom.
Positions (direct):
1 Sm 0.0663 0.2500 0.3791  10 Sn 3.33-3.39, 2 Mg 3.39-3.49
2 Sm 0.9337 0.7500 0.6209  10 Sn 3.33-3.39, 2 Mg 3.39-3.49
3 Mg 0.2670 0.2500 0.9851  8 Sn 3.05-3.31, 3 Mg 3.32-3.40
4 Mg 0.3377 0.7500 0.8347  8 Sn 3.05-3.27, 3 Mg 3.32-3.40
5 Mg 0.4633 0.2500 0.5773  9 Sn 3.17-3.30, 1 Sm 3.39, 2 Mg 3.44
6 Mg 0.5367 0.7500 0.4227  9 Sn 3.17-3.30, 1 Sm 3.39, 2 Mg 3.44
7 Mg 0.6623 0.2500 0.1653  8 Sn 3.05-3.27, 3 Mg 3.32-3.40
8 Mg 0.7330 0.7500 0.0149  8 Sn 3.05-3.31, 3 Mg 3.32-3.40
9 Sn 0.0423 0.7500 0.9393  6 Sn 3.17-3.44, 4 Mg 3.17-3.31, 1 Sm 3.37
10 Sn 0.1472 0.7500 0.2392  8 Sn 3.17-3.44, 1 Mg 3.29, 2 Sm 3.37
11 Sn 0.1780 0.2500 0.6975  4 Mg 3.05-3.30, 2 Sn 3.19-3.23, 3 Sm 3.36-3.39
12 Sn 0.2600 0.7500 0.5438  4 Mg 3.10-3.23, 4 Sn 3.10-3.46, 3 Sm 3.33-3.39
13 Sn 0.3755 0.2500 0.2761  5 Mg 3.07-3.24, 5 Sn 3.10-3.41, 1 Sm 3.37
14 Sn 0.4447 0.7500 0.1241  7 Mg 3.05-3.27, 5 Sn 3.19-3.41
15 Sn 0.5553 0.2500 0.8759  7 Mg 3.05-3.27, 5 Sn 3.19-3.41
16 Sn 0.6245 0.7500 0.7239  5 Mg 3.07-3.24, 5 Sn 3.10-3.41, 1 Sm 3.37
17 Sn 0.7400 0.2500 0.4562  4 Mg 3.10-3.23, 4 Sn 3.10-3.46, 3 Sm 3.33-3.39
18 Sn 0.8220 0.7500 0.3025  4 Mg 3.05-3.30, 2 Sn 3.19-3.23, 3 Sm 3.36-3.39
19 Sn 0.8528 0.2500 0.7608  8 Sn 3.17-3.44, 1 Mg 3.29, 2 Sm 3.37
20 Sn 0.9577 0.2500 0.0607  6 Sn 3.17-3.44, 4 Mg 3.17-3.31, 1 Sm 3.37



Q: Among the records above, which one has the highest raw total energy?
A: KZn3